Record 1
# CaNbRu2Pt

A crystal of CaNbRu2Pt relaxed with PBEsol (SCAN, Alexandria).

Values from the calculation:
Its magnetic moment is 0.00 μB/cell. The value obtained for the energy of formation from the pure elements is 9.84 eV/f.u. The density of states at the Fermi level is 6.29 states/eV/cell.

abc: 4.4579 4.4579 4.6679
angles: 90.00 90.00 90.00
Atoms (fractional coordinates):
Ca1 0.0000 0.0000 0.0000
Nb1 0.5000 0.5000 0.5000
Ru1 0.0000 0.5000 0.0000
Ru2 0.5000 0.0000 0.0000
Pt1 0.0000 0.0000 0.5000

---

Record 2
# Co3PPt

A crystal of Co3PPt relaxed with PBEsol (SCAN, Alexandria).

Values from the calculation:
Its magnetic moment is 4.64 μB/cell. The value obtained for the energy of formation from the pure elements is 1.87 eV/f.u. The density of states at the Fermi level is 3.93 states/eV/cell.

abc: 4.0441 4.0441 4.0441
angles: 90.00 90.00 90.00
Atoms (fractional coordinates):
Co1 0.0000 0.0000 0.5000
Co2 0.0000 0.5000 0.0000
Co3 0.5000 0.0000 0.0000
P1 0.0000 0.0000 0.0000
Pt1 0.5000 0.5000 0.5000

---

Record 3
# CuBSb3

A crystal of CuBSb3 relaxed with PBEsol (SCAN, Alexandria).

Values from the calculation:
Its magnetic moment is 0.00 μB/cell. The density of states at the Fermi level is 2.84 states/eV/cell. For the formation energy (no corrections), the calculation gives 1.030 eV per atom.

abc: 4.7087 4.7087 4.7087
angles: 90.00 90.00 90.00
Atoms (fractional coordinates):
Cu1 0.0000 0.0000 0.0000
B1 0.5000 0.5000 0.5000
Sb1 0.0000 0.5000 0.5000
Sb2 0.5000 0.0000 0.5000
Sb3 0.5000 0.5000 0.0000

---

Record 4
# NaHgSb2F

A crystal of NaHgSb2F relaxed with PBEsol (SCAN, Alexandria).

Values from the calculation:
Its magnetic moment is 0.00 μB/cell. The density of states at the Fermi level is 3.40 states/eV/cell. For the formation energy (no corrections), the calculation gives -0.136 eV per atom.

abc: 5.5726 5.5726 4.5060
angles: 90.00 90.00 90.00
Atoms (fractional coordinates):
Na1 0.0000 0.0000 0.0000
Hg1 0.5000 0.5000 0.5000
Sb1 0.0000 0.5000 0.5000
Sb2 0.5000 0.0000 0.5000
F1 0.5000 0.5000 0.0000

---

Record 5
# HgAu2Br

A crystal of HgAu2Br relaxed with PBEsol (SCAN, Alexandria).

Values from the calculation:
Its magnetic moment is 0.00 μB/cell. The density of states at the Fermi level is 1.28 states/eV/cell. As for the relative energy among the computed polymorphs: 0.3321 eV/atom. For the formation energy (no corrections), the calculation gives 0.434 eV per atom.

abc: 4.8527 4.8527 4.8527
angles: 60.00 60.00 60.00
Atoms (fractional coordinates):
Hg1 0.0000 0.0000 0.0000
Au1 0.2500 0.2500 0.2500
Au2 0.7500 0.7500 0.7500
Br1 0.5000 0.5000 0.5000

---

Record 6
# BaSc2Ru

A crystal of BaSc2Ru relaxed with PBEsol (SCAN, Alexandria).

Values from the calculation:
Its magnetic moment is 0.00 μB/cell. The value obtained for the energy of formation from the pure elements is 0.28 eV/f.u. The density of states at the Fermi level is 3.47 states/eV/cell. As for the relative energy among the computed polymorphs: 0.0728 eV/atom.

abc: 6.2045 6.2045 6.2045
angles: 148.08 124.31 65.64
Atoms (fractional coordinates):
Ba1 0.0000 0.0000 0.0000
Sc1 0.3161 0.8161 0.5000
Sc2 0.6839 0.1839 0.5000
Ru1 0.5000 0.5000 0.0000

---

Record 7
# MgTaSi

A crystal of MgTaSi relaxed with PBEsol (SCAN, Alexandria).

Values from the calculation:
Its magnetic moment is 0.00 μB/cell. The density of states at the Fermi level is 1.64 states/eV/cell. For the formation energy (no corrections), the calculation gives 0.155 eV per atom.

abc: 2.9478 2.9478 6.8549
angles: 90.00 90.00 120.00
Atoms (fractional coordinates):
Mg1 0.0000 0.0000 0.0000
Ta1 0.3333 0.6667 0.3603
Si1 0.6667 0.3333 0.6661

---

Record 8
# Mg2ScTl

A crystal of Mg2ScTl relaxed with PBEsol (SCAN, Alexandria).

Values from the calculation:
Its magnetic moment is 0.00 μB/cell. The value obtained for the energy of formation from the pure elements is -0.84 eV/f.u. The density of states at the Fermi level is 2.02 states/eV/cell. As for the relative energy among the computed polymorphs: 0.1063 eV/atom.

abc: 5.3108 5.3108 5.3108
angles: 129.09 129.09 74.87
Atoms (fractional coordinates):
Mg1 0.0000 0.0000 0.0000
Mg2 0.7500 0.2500 0.5000
Sc1 0.2500 0.7500 0.5000
Tl1 0.5000 0.5000 0.0000

---

Record 9
# Bi2Te2Br

A crystal of Bi2Te2Br relaxed with PBEsol (SCAN, Alexandria).

Values from the calculation:
Its magnetic moment is 0.00 μB/cell. The density of states at the Fermi level is 1.82 states/eV/cell. For the formation energy (no corrections), the calculation gives -0.127 eV per atom.

abc: 6.4820 6.4820 6.4820
angles: 126.66 126.66 78.81
Atoms (fractional coordinates):
Bi1 0.1565 0.1565 0.0000
Bi2 0.8435 0.8435 0.0000
Te1 0.2500 0.7500 0.5000
Te2 0.7500 0.2500 0.5000
Br1 0.5000 0.5000 0.0000

---

Record 10
# Zr2InP

A crystal of Zr2InP relaxed with PBEsol (SCAN, Alexandria).

Values from the calculation:
Its magnetic moment is 0.00 μB/cell. The value obtained for the energy of formation from the pure elements is -3.01 eV/f.u. The density of states at the Fermi level is 2.66 states/eV/cell. As for the relative energy among the computed polymorphs: 0.2137 eV/atom.

abc: 3.1718 3.1718 7.6067
angles: 90.00 90.00 90.00
Atoms (fractional coordinates):
Zr1 0.0000 0.0000 0.2044
Zr2 0.0000 0.0000 0.7956
In1 0.5000 0.5000 0.5000
P1 0.5000 0.5000 0.0000

---

Record 11
# Mg2Sb2Pb

A crystal of Mg2Sb2Pb relaxed with PBEsol (SCAN, Alexandria).

Values from the calculation:
Its magnetic moment is 0.00 μB/cell. The density of states at the Fermi level is 4.55 states/eV/cell. As for the relative energy among the computed polymorphs: 0.0062 eV/atom. For the formation energy (no corrections), the calculation gives -0.097 eV per atom.

abc: 8.4121 8.4121 3.5410
angles: 90.00 90.00 90.00
Atoms (fractional coordinates):
Mg1 0.1286 0.3714 0.0000
Mg2 0.3714 0.8714 0.0000
Mg3 0.6286 0.1286 0.0000
Mg4 0.8714 0.6286 0.0000
Sb1 0.1701 0.6701 0.5000
Sb2 0.3299 0.1701 0.5000
Sb3 0.6701 0.8299 0.5000
Sb4 0.8299 0.3299 0.5000
Pb1 0.0000 0.0000 0.0000
Pb2 0.5000 0.5000 0.0000

---

Record 12
# HoGeIr

A crystal of HoGeIr relaxed with PBEsol (SCAN, Alexandria).

Values from the calculation:
Its magnetic moment is 0.00 μB/cell. The value obtained for the energy of formation from the pure elements is -3.40 eV/f.u. The density of states at the Fermi level is 3.99 states/eV/cell.

abc: 6.7629 4.2504 7.5162
angles: 90.00 90.00 90.00
Atoms (fractional coordinates):
Ho1 0.0050 0.2500 0.1916
Ho2 0.4950 0.7500 0.6916
Ho3 0.5050 0.2500 0.3084
Ho4 0.9950 0.7500 0.8084
Ge1 0.2098 0.7500 0.3887
Ge2 0.2902 0.2500 0.8887
Ge3 0.7098 0.7500 0.1113
Ge4 0.7902 0.2500 0.6113
Ir1 0.1607 0.2500 0.5652
Ir2 0.3393 0.7500 0.0652
Ir3 0.6607 0.2500 0.9348
Ir4 0.8393 0.7500 0.4348